{"formula": "K2RbGdNb2O8", "functional": "PBE", "state": "optimized geometry", "space_group": "P-3m1 (164)", "e_tot_ev_per_atom": -7.385, "lattice": [[6.073, 0.000, 0.000], [-3.036, 5.259, 0.000], [0.000, 0.000, 7.659]], "species": ["K", "K", "Rb", "Gd", "Nb", "Nb", "O", "O", "O", "O", "O", "O", "O", "O"], "fractional_positions": [[0.333, 0.667, 0.160], [0.667, 0.333, 0.840], [0.000, 0.000, 0.500], [0.000, 0.000, 0.000], [0.333, 0.667, 0.721], [0.667, 0.333, 0.279], [0.169, 0.337, 0.817], [0.169, 0.831, 0.817], [0.333, 0.667, 0.483], [0.337, 0.169, 0.183], [0.663, 0.831, 0.817], [0.667, 0.333, 0.517], [0.831, 0.169, 0.183], [0.831, 0.663, 0.183]]}



{"formula": "MoIrPt", "functional": "PBE", "state": "optimized geometry", "space_group": "F-43m (216)", "e_tot_ev_per_atom": -8.342, "formation_energy_ev_per_atom": 0.2447, "polymorph_energy_ev_per_atom": 0.000, "lattice": [[0.000, 2.997, 2.997], [2.997, 0.000, 2.997], [2.997, 2.997, 0.000]], "species": ["Mo", "Ir", "Pt"], "fractional_positions": [[0.000, 0.000, 0.000], [0.750, 0.750, 0.750], [0.250, 0.250, 0.250]]}



{"formula": "NaNbSiOs", "functional": "PBE", "state": "optimized geometry", "space_group": "F-43m (216)", "e_tot_ev_per_atom": -6.994, "polymorph_energy_ev_per_atom": 0.000, "lattice": [[0.000, 3.122, 3.122], [3.122, 0.000, 3.122], [3.122, 3.122, 0.000]], "species": ["Na", "Nb", "Si", "Os"], "fractional_positions": [[0.000, 0.000, 0.000], [0.750, 0.750, 0.750], [0.250, 0.250, 0.250], [0.500, 0.500, 0.500]]}